1.
VASP calculation (PBE) on crystalline LaMg6Ti at its relaxed geometry.

Properties
Crystal system = orthorhombic
Formation energy = 0.086 eV/atom
Distance to the lowest polymorph of the same formula = 0 meV/atom
Total DFT energy (no corrections) = -43.4 eV per cell

a = 5.129 Å, b = 6.537 Å, c = 11.339 Å
α = 90.00°, β = 90.00°, γ = 90.00°
Space group Amm2 (No. 38)
Asymmetric unit:
La (0.000, 0.000, 0.000) (multiplicity 2)
Mg (0.000, 0.000, 0.494) (multiplicity 2)
Mg (0.000, 0.239, 0.254) (multiplicity 4)
Mg (0.500, 0.000, 0.828) (multiplicity 2)
Mg (0.500, 0.241, 0.588) (multiplicity 4)
Ti (0.500, 0.000, 0.334) (multiplicity 2)

---

2.
VASP calculation (PBE) on crystalline AcLaCd at its relaxed geometry.

Properties
Crystal system = trigonal
Formation energy = -0.096 eV/atom
Distance to the lowest polymorph of the same formula = 109 meV/atom
Total DFT energy (no corrections) = -10.2 eV per cell

a = 5.5244 Å, b = 5.5244 Å, c = 3.8341 Å
α = 90.00°, β = 90.00°, γ = 120.00°
Space group P3m1 (No. 156)
Asymmetric unit:
Ac (0.0000, 0.0000, 0.0000) (multiplicity 1)
La (0.6667, 0.3333, 0.6083) (multiplicity 1)
Cd (0.3333, 0.6667, 0.3422) (multiplicity 1)

---

3.
VASP calculation (PBE) on crystalline BaFe2OsAu at its relaxed geometry.

Properties
Crystal system = tetragonal
Formation energy = 2.691 eV/atom
Total DFT energy (no corrections) = -19.9 eV per cell

a = 4.821 Å, b = 4.821 Å, c = 5.065 Å
α = 90.00°, β = 90.00°, γ = 90.00°
Space group P4/mmm (No. 123)
Asymmetric unit:
Ba (0.000, 0.000, 0.000) (multiplicity 1)
Fe (0.000, 0.500, 0.000) (multiplicity 2)
Os (0.000, 0.000, 0.500) (multiplicity 1)
Au (0.500, 0.500, 0.500) (multiplicity 1)